(1)
A plane-wave DFT calculation with GGA-PBE was carried out for a relaxed NaGe2Pd crystal.

Calculated values
ρ	6.0	Mg/m³
total DFT energy (no corrections)	-4.20	eV per atom
total magnetization	0.00	μB/f.u.
space-group type	Pnma, No. 62
ΔH_f (0 K)	-265	meV per atom

extended XYZ file:
```
32
Lattice="16.254 0.000 0.000 0.000 6.766 0.000 0.000 0.000 5.511" Properties=species:S:1:pos:R:3 pbc="T T T"
Na 1.770 1.691 1.233
Na 2.377 5.074 2.614
Na 5.750 1.691 5.369
Na 6.357 5.074 3.988
Na 9.897 1.691 1.522
Na 10.504 5.074 0.142
Na 13.878 1.691 2.897
Na 14.485 5.074 4.278
Ge 0.490 0.352 4.023
Ge 0.490 3.030 4.023
Ge 3.496 3.772 5.282
Ge 3.496 6.376 5.282
Ge 4.631 0.389 2.526
Ge 4.631 2.993 2.526
Ge 7.637 3.735 1.267
Ge 7.637 6.413 1.267
Ge 8.617 0.352 4.243
Ge 8.617 3.030 4.243
Ge 11.624 3.772 2.985
Ge 11.624 6.376 2.985
Ge 12.758 0.389 0.229
Ge 12.758 2.993 0.229
Ge 15.765 3.735 1.488
Ge 15.765 6.413 1.488
Pd 1.196 5.074 5.474
Pd 2.762 1.691 3.924
Pd 5.365 5.074 1.168
Pd 6.931 1.691 2.718
Pd 9.323 5.074 2.792
Pd 10.890 1.691 4.342
Pd 13.492 5.074 1.587
Pd 15.058 1.691 0.037
```

***

(2)
A plane-wave DFT calculation with GGA-PBE was carried out for a relaxed TlCdGa6 crystal.

Calculated values
ρ	7.0	Mg/m³
total DFT energy (no corrections)	-2.63	eV per atom
total magnetization	0.00	μB/f.u.
space-group type	Pmm2, No. 25
ΔH_f (0 K)	49	meV per atom

extended XYZ file:
```
8
Lattice="4.025 0.000 0.000 0.000 6.248 0.000 0.000 0.000 6.891" Properties=species:S:1:pos:R:3 pbc="T T T"
Tl 0.000 0.000 0.000
Cd 2.013 3.124 0.863
Ga 0.000 1.795 2.840
Ga 0.000 3.124 5.478
Ga 0.000 4.453 2.840
Ga 2.013 0.000 2.373
Ga 2.013 1.387 4.848
Ga 2.013 4.861 4.848
```

***

(3)
A plane-wave DFT calculation with GGA-PBE was carried out for a relaxed Ho2Zn3Cu12Ni crystal.

Calculated values
ρ	7.8	Mg/m³
total DFT energy (no corrections)	-3.64	eV per atom
total magnetization	0.00	μB/f.u.
space-group type	R-3m, No. 166
ΔH_f (0 K)	130	meV per atom

extended XYZ file:
```
18
Lattice="3.041 1.756 8.932 -3.041 1.756 8.932 0.000 -3.511 8.932" Properties=species:S:1:pos:R:3 pbc="T T T"
Ho 0.000 0.000 3.987
Ho 0.000 0.000 22.809
Zn -1.520 -0.878 8.932
Zn -1.520 0.878 17.864
Zn 0.000 1.756 8.932
Cu 0.000 -2.133 7.565
Cu -1.847 1.067 7.565
Cu -1.337 -0.772 11.602
Cu -1.847 -1.067 19.231
Cu 0.000 -1.544 15.194
Cu -1.337 0.772 15.194
Cu 1.337 -0.772 11.602
Cu 0.000 1.544 11.602
Cu 1.847 1.067 7.565
Cu 1.337 0.772 15.194
Cu 1.847 -1.067 19.231
Cu 0.000 2.133 19.231
Ni 0.000 0.000 13.398
```

***

(4)
A plane-wave DFT calculation with GGA-PBE was carried out for a relaxed Hf4Ti2Sn crystal.

Calculated values
ρ	10.3	Mg/m³
total DFT energy (no corrections)	-8.48	eV per atom
total magnetization	0.00	μB/f.u.
space-group type	Pmna, No. 53
ΔH_f (0 K)	33	meV per atom

extended XYZ file:
```
14
Lattice="5.671 0.000 0.000 0.000 5.308 0.000 0.000 0.000 9.915" Properties=species:S:1:pos:R:3 pbc="T T T"
Hf 0.000 0.193 1.781
Hf 0.000 5.116 8.133
Hf 1.418 2.425 7.436
Hf 1.418 2.883 2.479
Hf 2.836 0.193 3.176
Hf 2.836 5.116 6.739
Hf 4.253 2.425 7.436
Hf 4.253 2.883 2.479
Ti 0.000 1.285 4.704
Ti 0.000 4.024 5.210
Ti 2.836 1.285 0.253
Ti 2.836 4.024 9.661
Sn 0.000 2.654 0.000
Sn 2.836 2.654 4.957
```

***

(5)
A plane-wave DFT calculation with GGA-PBE was carried out for a relaxed K2MgBe crystal.

Calculated values
ρ	1.4	Mg/m³
total DFT energy (no corrections)	-1.20	eV per atom
total magnetization	0.00	μB/f.u.
space-group type	C2, No. 5
ΔH_f (0 K)	680	meV per atom

extended XYZ file:
```
4
Lattice="3.958 -4.018 0.000 3.958 4.018 0.000 -3.950 0.000 4.051" Properties=species:S:1:pos:R:3 pbc="T T T"
K 0.000 0.000 0.000
K 1.983 -2.009 2.025
Mg 1.983 2.007 2.025
Be 3.958 -0.003 0.000
```

***

(6)
A plane-wave DFT calculation with GGA-PBE was carried out for a relaxed BaAsIr3 crystal.

Calculated values
ρ	9.9	Mg/m³
total DFT energy (no corrections)	-3.78	eV per atom
total magnetization	0.06	μB/f.u.
space-group type	Pm-3m, No. 221
ΔH_f (0 K)	2856	meV per atom

extended XYZ file:
```
5
Lattice="5.097 0.000 0.000 0.000 5.097 0.000 0.000 0.000 5.097" Properties=species:S:1:pos:R:3 pbc="T T T"
Ba 0.000 0.000 0.000
As 2.548 2.548 2.548
Ir 0.000 0.000 2.548
Ir 0.000 2.548 0.000
Ir 2.548 0.000 0.000
```

***

(7)
A plane-wave DFT calculation with GGA-PBE was carried out for a relaxed Pm2PrSmDy2 crystal.

Calculated values
ρ	7.3	Mg/m³
total DFT energy (no corrections)	-4.44	eV per atom
total magnetization	0.00	μB/f.u.
space-group type	Pnnm, No. 58
ΔH_f (0 K)	260	meV per atom

extended XYZ file:
```
12
Lattice="6.628 0.000 0.000 0.000 18.211 0.000 0.000 0.000 3.426" Properties=species:S:1:pos:R:3 pbc="T T T"
Pm 1.466 3.414 0.000
Pm 1.848 12.519 1.713
Pm 4.780 5.692 1.713
Pm 5.162 14.797 0.000
Pr 0.000 0.000 0.000
Pr 3.314 9.105 1.713
Sm 0.000 9.105 0.000
Sm 3.314 0.000 1.713
Dy 1.450 6.420 1.713
Dy 1.864 15.526 0.000
Dy 4.764 2.685 0.000
Dy 5.178 11.791 1.713
```

***

(8)
A plane-wave DFT calculation with GGA-PBE was carried out for a relaxed ErAlCuAg crystal.

Calculated values
ρ	8.4	Mg/m³
total DFT energy (no corrections)	-4.14	eV per atom
total magnetization	0.00	μB/f.u.
space-group type	F-43m, No. 216
ΔH_f (0 K)	-322	meV per atom

extended XYZ file:
```
4
Lattice="0.000 3.313 3.313 3.313 0.000 3.313 3.313 3.313 0.000" Properties=species:S:1:pos:R:3 pbc="T T T"
Er 0.000 0.000 0.000
Al 3.313 3.313 3.313
Cu 4.969 4.969 4.969
Ag 1.656 1.656 1.656
```

***

(9)
A plane-wave DFT calculation with GGA-PBE was carried out for a relaxed CdRuSeBr2 crystal.

Calculated values
ρ	4.9	Mg/m³
total DFT energy (no corrections)	-2.61	eV per atom
total magnetization	3.97	μB/f.u.
space-group type	P4/mmm, No. 123
uncorrected formation energy	0.798	eV/atom

extended XYZ file:
```
5
Lattice="5.355 0.000 0.000 0.000 5.355 0.000 0.000 0.000 5.360" Properties=species:S:1:pos:R:3 pbc="T T T"
Cd 0.000 0.000 0.000
Ru 2.678 2.678 2.680
Se 0.000 0.000 2.680
Br 0.000 2.678 0.000
Br 2.678 0.000 0.000
```

***

(10)
A plane-wave DFT calculation with GGA-PBE was carried out for a relaxed VBOs2 crystal.

Calculated values
ρ	15.3	Mg/m³
total DFT energy (no corrections)	-9.58	eV per atom
total magnetization	0.04	μB/f.u.
space-group type	P4/mmm, No. 123
ΔH_f (0 K)	-19	meV per atom

extended XYZ file:
```
4
Lattice="2.792 0.000 0.000 0.000 2.792 0.000 0.000 0.000 6.155" Properties=species:S:1:pos:R:3 pbc="T T T"
V 0.000 0.000 0.000
B 0.000 0.000 3.077
Os 1.396 1.396 1.762
Os 1.396 1.396 4.392
```

***

(11)
A plane-wave DFT calculation with GGA-PBE was carried out for a relaxed LiCrPdRu2 crystal.

Calculated values
ρ	5.7	Mg/m³
total DFT energy (no corrections)	-5.25	eV per atom
total magnetization	2.47	μB/f.u.
space-group type	P4/mmm, No. 123
ΔH_f (0 K)	1809	meV per atom

extended XYZ file:
```
5
Lattice="4.848 0.000 0.000 0.000 4.848 0.000 0.000 0.000 4.518" Properties=species:S:1:pos:R:3 pbc="T T T"
Li 0.000 0.000 0.000
Cr 2.424 2.424 0.000
Pd 2.424 2.424 2.259
Ru 0.000 2.424 2.259
Ru 2.424 0.000 2.259
```

***

(12)
A plane-wave DFT calculation with GGA-PBE was carried out for a relaxed Ac2YHfS6 crystal.

Calculated values
ρ	5.7	Mg/m³
total DFT energy (no corrections)	-6.83	eV per atom
total magnetization	0.00	μB/f.u.
space-group type	Cm, No. 8
uncorrected formation energy	-1.887	eV/atom

extended XYZ file:
```
10
Lattice="5.070 -5.188 0.000 5.070 5.188 0.000 -4.762 0.000 5.077" Properties=species:S:1:pos:R:3 pbc="T T T"
Ac 5.070 2.944 0.000
Ac 5.070 -2.944 0.000
Y 3.499 0.000 2.527
Hf -1.475 0.000 2.687
S 0.923 0.000 1.782
S 3.573 2.662 2.667
S -0.511 0.000 5.025
S 8.070 0.000 0.168
S 3.573 -2.662 2.667
S 6.184 0.000 3.209
```

***

(13)
A plane-wave DFT calculation with GGA-PBE was carried out for a relaxed BeCu2Mo crystal.

Calculated values
ρ	7.9	Mg/m³
total DFT energy (no corrections)	-5.40	eV per atom
total magnetization	0.00	μB/f.u.
space-group type	I-4m2, No. 119
ΔH_f (0 K)	290	meV per atom

extended XYZ file:
```
4
Lattice="-2.049 2.049 2.888 2.049 -2.049 2.888 2.049 2.049 -2.888" Properties=species:S:1:pos:R:3 pbc="T T T"
Be 0.000 0.000 0.000
Cu 2.049 0.000 1.444
Cu 0.000 0.000 2.888
Mo 0.000 2.049 1.444
```

***

(14)
A plane-wave DFT calculation with GGA-PBE was carried out for a relaxed Na2Hg4Bi5 crystal.

Calculated values
ρ	9.2	Mg/m³
total DFT energy (no corrections)	-2.16	eV per atom
total magnetization	0.00	μB/f.u.
space-group type	C2/m, No. 12
ΔH_f (0 K)	-45	meV per atom

extended XYZ file:
```
11
Lattice="6.949 -3.316 0.000 6.949 3.316 0.000 -5.883 0.000 7.442" Properties=species:S:1:pos:R:3 pbc="T T T"
Na 1.396 0.000 1.858
Na 6.618 0.000 5.584
Hg -0.302 0.000 4.623
Hg -2.239 0.000 7.149
Hg 10.253 0.000 0.294
Hg 8.317 0.000 2.819
Bi 2.891 1.545 4.979
Bi 5.123 1.545 2.463
Bi 6.949 0.000 0.000
Bi 2.891 -1.545 4.979
Bi 5.123 -1.545 2.463
```

***

(15)
A plane-wave DFT calculation with GGA-PBE was carried out for a relaxed Eu4O3F7 crystal.

Calculated values
ρ	7.1	Mg/m³
total DFT energy (no corrections)	-8.05	eV per atom
total magnetization	23.00	μB/f.u.
space-group type	P2, No. 3
uncorrected formation energy	-3.116	eV/atom

extended XYZ file:
```
14
Lattice="5.431 0.000 0.000 0.000 5.749 0.000 -0.106 0.000 5.870" Properties=species:S:1:pos:R:3 pbc="T T T"
Eu 1.203 0.000 1.484
Eu 1.361 2.969 4.397
Eu 3.964 2.969 1.473
Eu 4.122 0.000 4.387
O 0.000 4.157 0.000
O -0.053 4.400 2.935
O 2.662 4.311 2.935
F -0.053 1.655 2.935
F 0.923 0.667 4.999
F 1.694 2.333 0.884
F 2.662 1.291 2.935
F 2.715 4.590 0.000
F 3.631 2.333 4.986
F 4.401 0.667 0.871
```

***

(16)
A plane-wave DFT calculation with GGA-PBE was carried out for a relaxed TbDySb2O8 crystal.

Calculated values
ρ	7.4	Mg/m³
total DFT energy (no corrections)	-7.11	eV per atom
total magnetization	0.00	μB/f.u.
space-group type	I-4, No. 82
uncorrected formation energy	-2.349	eV/atom

extended XYZ file:
```
12
Lattice="-2.633 2.633 5.615 2.633 -2.633 5.615 2.633 2.633 -5.615" Properties=species:S:1:pos:R:3 pbc="T T T"
Tb 0.000 0.000 0.000
Dy 2.633 0.000 2.807
Sb 0.000 0.000 5.615
Sb 0.000 2.633 2.807
O 1.297 0.963 -1.810
O 1.337 -0.956 4.611
O 1.678 1.296 1.004
O 1.670 -1.336 7.424
O 1.296 3.589 -1.004
O 1.336 1.670 3.805
O 0.956 1.337 6.619
O 0.963 3.969 1.810
```

***

(17)
A plane-wave DFT calculation with GGA-PBE was carried out for a relaxed Ge2AsPd2 crystal.

Calculated values
ρ	8.4	Mg/m³
total DFT energy (no corrections)	-4.99	eV per atom
total magnetization	0.00	μB/f.u.
space-group type	P4/mbm, No. 127
ΔH_f (0 K)	-135	meV per atom

extended XYZ file:
```
10
Lattice="7.537 0.000 0.000 0.000 7.537 0.000 0.000 0.000 3.016" Properties=species:S:1:pos:R:3 pbc="T T T"
Ge 1.181 2.587 0.000
Ge 2.587 6.355 0.000
Ge 4.950 1.181 0.000
Ge 6.355 4.950 0.000
As 0.000 0.000 1.508
As 3.768 3.768 1.508
Pd 1.048 4.817 1.508
Pd 2.720 1.048 1.508
Pd 4.817 6.488 1.508
Pd 6.488 2.720 1.508
```

***

(18)
A plane-wave DFT calculation with GGA-PBE was carried out for a relaxed MgTl2Cr crystal.

Calculated values
ρ	8.5	Mg/m³
total DFT energy (no corrections)	-3.61	eV per atom
total magnetization	4.22	μB/f.u.
space-group type	P2/m, No. 10
ΔH_f (0 K)	377	meV per atom

extended XYZ file:
```
4
Lattice="3.341 0.000 0.000 0.000 4.815 0.000 -0.552 0.000 5.906" Properties=species:S:1:pos:R:3 pbc="T T T"
Mg 0.000 0.000 0.000
Tl 0.494 2.408 4.393
Tl 2.294 2.408 1.513
Cr 1.394 0.000 2.953
```

***

(19)
A plane-wave DFT calculation with GGA-PBE was carried out for a relaxed Ta3GaB crystal.

Calculated values
ρ	13.1	Mg/m³
total DFT energy (no corrections)	-9.21	eV per atom
total magnetization	0.00	μB/f.u.
space-group type	P6_3/mmc, No. 194
ΔH_f (0 K)	-155	meV per atom

extended XYZ file:
```
10
Lattice="6.073 0.000 0.000 -3.037 5.260 0.000 0.000 0.000 4.936" Properties=species:S:1:pos:R:3 pbc="T T T"
Ta 0.000 1.830 1.234
Ta -1.452 4.345 1.234
Ta 1.585 0.915 3.702
Ta 1.452 4.345 1.234
Ta 4.489 0.915 3.702
Ta 3.037 3.430 3.702
Ga 0.000 3.506 3.702
Ga 3.037 1.753 1.234
B 0.000 0.000 0.000
B 0.000 0.000 2.468
```

***

(20)
A plane-wave DFT calculation with GGA-PBE was carried out for a relaxed KYNi crystal.

Calculated values
ρ	3.4	Mg/m³
total DFT energy (no corrections)	-4.26	eV per atom
total magnetization	0.00	μB/f.u.
space-group type	Fmm2, No. 42
ΔH_f (0 K)	184	meV per atom

extended XYZ file:
```
3
Lattice="0.000 2.499 7.389 2.495 0.000 7.389 2.495 2.499 0.000" Properties=species:S:1:pos:R:3 pbc="T T T"
K 0.000 0.000 0.000
Y 2.495 2.499 11.090
Ni 2.495 2.499 4.907
```